Record 1
# CsCaAlB2 PBE relaxed
data_CsCaAlB2
_chemical_formula_sum 'Cs1 Ca1 Al1 B2'
_space_group_name_H-M_alt 'P 4/m m m'
_space_group_IT_number 123
_space_group_name_Hall '-P 4 2'
_cell_length_a 5.0597
_cell_length_b 5.0597
_cell_length_c 5.6073
_cell_angle_alpha 90.00
_cell_angle_beta 90.00
_cell_angle_gamma 90.00
loop_
_atom_site_label
_atom_site_fract_x
_atom_site_fract_y
_atom_site_fract_z
Cs1 0.0000 0.0000 0.0000
Ca1 0.5000 0.5000 0.5000
Al1 0.0000 0.0000 0.5000
B1 0.0000 0.5000 0.0000
# Mass density: 2.563 Mg/m³
# Final energy: -1.74 eV per atom
# Energy of formation: 2.247 eV per atom
# Volume: 143.55 Å³ per cell


Record 2
# La4Pb2F PBE relaxed
data_La4Pb2F
_chemical_formula_sum 'La8 Pb4 F2'
_space_group_name_H-M_alt 'I 4/m m m'
_space_group_IT_number 139
_space_group_name_Hall '-I 4 2'
_cell_length_a 4.9179
_cell_length_b 4.9179
_cell_length_c 18.2550
_cell_angle_alpha 90.00
_cell_angle_beta 90.00
_cell_angle_gamma 90.00
loop_
_atom_site_label
_atom_site_fract_x
_atom_site_fract_y
_atom_site_fract_z
La1 0.0000 0.0000 0.1829
La2 0.0000 0.5000 0.0000
Pb1 0.0000 0.0000 0.3654
F1 0.0000 0.0000 0.0000
# Mass density: 7.439 Mg/m³
# Final energy: -5.23 eV per atom
# Volume: 441.51 Å³ per cell


Record 3
# SmThSn PBE relaxed
data_SmThSn
_chemical_formula_sum 'Sm2 Th2 Sn2'
_space_group_name_H-M_alt 'P 4/n m m'
_space_group_IT_number 129
_cell_length_a 4.6170
_cell_length_b 4.6170
_cell_length_c 8.8408
_cell_angle_alpha 90.00
_cell_angle_beta 90.00
_cell_angle_gamma 90.00
loop_
_space_group_symop_operation_xyz
'x,y,z'
'-x,-y,-z'
'-y+1/2,x,z'
'y+1/2,-x,-z'
'-x+1/2,-y+1/2,z'
'x+1/2,y+1/2,-z'
'y,-x+1/2,z'
'-y,x+1/2,-z'
'x+1/2,-y,-z'
'-x+1/2,y,z'
'-y,-x,-z'
'y,x,z'
'-x,y+1/2,-z'
'x,-y+1/2,z'
'y+1/2,x+1/2,-z'
'-y+1/2,-x+1/2,z'
loop_
_atom_site_label
_atom_site_fract_x
_atom_site_fract_y
_atom_site_fract_z
Sm1 0.2500 0.2500 0.1446
Th1 0.2500 0.7500 0.5000
Sn1 0.2500 0.2500 0.7803
# Mass density: 8.831 Mg/m³
# Final energy: -5.87 eV per atom
# Polymorph energy (0 for the lowest one): 0.0358 eV per atom
# Energy of formation: -0.494 eV per atom
# Volume: 188.46 Å³ per cell


Record 4
# FePOs2Au PBE relaxed
data_FePOs2Au
_chemical_formula_sum 'Fe1 P1 Os2 Au1'
_space_group_name_H-M_alt 'P 1 m 1'
_space_group_IT_number 6
_space_group_name_Hall 'P -2y'
_cell_length_a 4.7918
_cell_length_b 2.7712
_cell_length_c 5.5960
_cell_angle_alpha 90.00
_cell_angle_beta 99.90
_cell_angle_gamma 90.00
loop_
_atom_site_label
_atom_site_fract_x
_atom_site_fract_y
_atom_site_fract_z
Fe1 0.0000 0.0000 0.0000
P1 0.9666 0.5000 0.6641
Os1 0.2485 0.5000 0.3613
Os2 0.7180 0.0000 0.3617
Au1 0.4872 0.5000 0.9050
# Mass density: 15.068 Mg/m³
# Final energy: -7.71 eV per atom
# Polymorph energy (0 for the lowest one): 0.1303 eV per atom
# Energy of formation: 0.210 eV per atom
# Volume: 73.20 Å³ per cell